Record 1
Below is a relaxed structure of AcHfMnO5, with properties calculated at the PBE with a Hubbard U level.

Output
spin magnetization: 16.0 μB/cell
E_tot: -8.633 eV per atom

abc: 6.6864 9.8050 7.6416
angles: 90.00 110.24 90.00
Space group C2/c (No. 15)
Inequivalent atoms, fractional coordinates:
Ac 0.0000 0.1738 0.2500 (multiplicity 4)
Hf 0.0000 0.5000 0.0000 (multiplicity 4)
Mn 0.0000 0.1717 0.7500 (multiplicity 4)
O 0.0000 0.4266 0.2500 (multiplicity 4)
O 0.0810 0.2965 0.5911 (multiplicity 8)
O 0.1718 0.0428 0.9248 (multiplicity 8)

=====

Record 2
Below is a relaxed structure of ErCo3Cu4O12, with properties calculated at the PBE with a Hubbard U level.

Output
spin magnetization: 12.3 μB/cell
E_tot: -5.743 eV per atom

abc: 7.3161 7.3161 7.3161
angles: 90.00 90.00 90.00
Space group Im-3 (No. 204)
Inequivalent atoms, fractional coordinates:
Er 0.0000 0.0000 0.0000 (multiplicity 2)
Co 0.0000 0.0000 0.5000 (multiplicity 6)
Cu 0.2500 0.2500 0.2500 (multiplicity 8)
O 0.0000 0.3075 0.1707 (multiplicity 24)

=====

- The highest E_tot belongs to which entry?
  ErCo3Cu4O12

=====

- Among the records above, which one has the lowest spin magnetization?
  ErCo3Cu4O12